No. 1
# LuAlCoPd PBE relaxed
data_LuAlCoPd
_chemical_formula_sum 'Lu4 Al4 Co4 Pd4'
_space_group_name_H-M_alt 'F -4 3 m'
_space_group_IT_number 216
_space_group_name_Hall 'F -4 2 3'
_cell_length_a 6.346
_cell_length_b 6.346
_cell_length_c 6.346
_cell_angle_alpha 90.00
_cell_angle_beta 90.00
_cell_angle_gamma 90.00
loop_
_atom_site_label
_atom_site_type_symbol
_atom_site_fract_x
_atom_site_fract_y
_atom_site_fract_z
Lu1 Lu 0.000 0.000 0.000
Al1 Al 0.000 0.000 0.500
Co1 Co 0.250 0.250 0.250
Pd1 Pd 0.250 0.250 0.750
# DOS at the Fermi energy: 2.88 states/eV/f.u.
# calculated formation energy: -57.4 kJ per mole of atoms
# theoretical density: 9.55 Mg/m³
# calculated volume: 256 Å³ per cell


No. 2
# SiRuBr PBE relaxed
data_SiRuBr
_chemical_formula_sum 'Si4 Ru4 Br4'
_space_group_name_H-M_alt 'F -4 3 m'
_space_group_IT_number 216
_space_group_name_Hall 'F -4 2 3'
_cell_length_a 6.012
_cell_length_b 6.012
_cell_length_c 6.012
_cell_angle_alpha 90.00
_cell_angle_beta 90.00
_cell_angle_gamma 90.00
loop_
_atom_site_label
_atom_site_type_symbol
_atom_site_fract_x
_atom_site_fract_y
_atom_site_fract_z
Si1 Si 0.000 0.000 0.000
Ru1 Ru 0.250 0.250 0.250
Br1 Br 0.000 0.000 0.500
# DOS at the Fermi energy: 2.66 states/eV/f.u.
# formation energy from raw total energies: 0.393 eV per atom
# theoretical density: 6.39 Mg/m³
# calculated volume: 217 Å³ per cell


No. 3
# TiCoN2 PBE relaxed
data_TiCoN2
_chemical_formula_sum 'Ti3 Co3 N6'
_space_group_name_H-M_alt 'R -3 m'
_space_group_IT_number 166
_space_group_name_Hall '-R 3 2"'
_cell_length_a 3.0488
_cell_length_b 3.0488
_cell_length_c 17.1965
_cell_angle_alpha 90.00
_cell_angle_beta 90.00
_cell_angle_gamma 120.00
loop_
_atom_site_label
_atom_site_type_symbol
_atom_site_fract_x
_atom_site_fract_y
_atom_site_fract_z
Ti1 Ti 0.0000 0.0000 0.0000
Co1 Co 0.0000 0.0000 0.5000
N1 N 0.0000 0.0000 0.3956
# DOS at the Fermi energy: 1.64 states/eV/f.u.
# formation energy from raw total energies: -0.422 eV per atom
# theoretical density: 4.85 Mg/m³
# calculated volume: 138 Å³ per cell